Entry from the Alexandria database: SrSnSe2N after structural relaxation (PBE).

Summary:
DFT total energy   -4.481 eV per atom
Symmetry   P4/mmm
Calculated density   5.098 g cm⁻³
E_form (uncorrected)   -0.29 eV/atom
E above lowest polymorph   0.00 eV per formula unit
Crystal system   tetragonal
Total moment   1.17 Bohr magnetons per cell

Lattice parameters (Å, degrees): 5.439 5.439 4.165 90.00 90.00 90.00
Each line ends with the local moment (μB).
Sites, in units of the cell vectors:
1 Se 0.500 0.000 0.000  0.10
2 Se 0.000 0.500 0.000  0.10
3 N 0.000 0.000 0.500  0.65
4 Sn 0.000 0.000 0.000  -0.04
5 Sr 0.500 0.500 0.500  0.00

Entry from the Alexandria database: Ti2CrNiH after structural relaxation (PBE).

Summary:
DFT total energy   -7.110 eV per atom
Symmetry   P4/mmm
Calculated density   6.007 g cm⁻³
E above lowest polymorph   0.00 eV per formula unit
Crystal system   tetragonal
Total moment   0.00 Bohr magnetons per cell

Lattice parameters (Å, degrees): 4.191 3.264 4.191 90.00 90.00 90.00
Sites, in units of the cell vectors:
1 Ti 0.000 0.000 0.500
2 Ti 0.500 0.000 0.000
3 Cr 0.000 0.500 0.000
4 Ni 0.500 0.500 0.500
5 H 0.000 0.000 0.000